PBE Tm5ScPb6, relaxed; energy above the most stable polymorph in this dataset = 0.008 eV/atom; VASP energy = -55.337 eV per cell; crystal system = monoclinic
1.0
8.4869 0.3580 0.0000
2.7853 5.3464 0.0000
1.3926 2.6732 7.5612
Tm Pb Sc
5 6 1
Cartesian
5.6361 2.8522 0.0000
7.0288 5.5254 2.5847
1.3927 2.6732 2.4911
5.6361 2.8522 4.9765
2.7853 5.3464 5.0701
5.5726 6.8201 5.0884
8.4686 4.3460 0.0000
4.1800 4.1469 2.4728
2.8036 1.3584 0.0000
7.0922 1.5575 2.4728
8.4849 4.2307 5.0884
0.0000 0.0000 0.0000

=====

PBE TmSc4Pb5, relaxed; VASP energy = -50.298 eV per cell; crystal system = tetragonal
1.0
-2.3484 -3.5872 4.2725
4.6623 -1.5741 5.5286
-3.3396 3.6423 5.5101
Pb Sc Tm
5 4 1
Cartesian
-1.1891 -1.8163 2.1633
0.9397 -0.2005 8.9205
-1.9639 -1.3162 6.3878
1.8064 -0.4808 4.8740
-2.8306 -1.0359 10.4344
-1.7809 0.9335 8.3782
-0.0633 -1.9377 11.1993
0.7562 -2.4510 6.9312
-0.9614 0.4202 4.1101
-0.0144 -0.0221 0.0263

=====

PBE TmSc3Pb2, relaxed; energy above the most stable polymorph in this dataset = 0.048 eV/atom; VASP energy = -65.429 eV per cell; crystal system = orthorhombic
1.0
4.7076 0.0000 0.0000
0.0000 8.4021 0.0000
-2.3538 -4.2010 7.5761
Sc Pb Tm
6 4 2
Cartesian
2.3538 2.1005 0.0000
0.0000 6.3016 2.6530
0.0000 2.1005 2.6530
2.3538 2.1005 4.9231
2.3538 6.3016 0.0000
2.3538 -2.1005 4.9231
2.3537 0.0000 2.2991
2.3539 4.2010 2.2991
-0.0001 0.0000 5.2770
0.0001 4.2010 5.2770
0.0000 0.0000 0.0000
0.0000 4.2010 0.0000

=====

PBE TmSc4Pb, relaxed; VASP energy = -68.449 eV per cell; crystal system = monoclinic
1.0
0.4934 2.4201 -5.1695
3.2852 -2.4097 -4.0278
-9.5556 -5.6240 -0.4249
Sc Pb Tm
8 2 2
Cartesian
-3.3017 -1.5908 -5.8502
-4.4178 -4.6294 -6.3285
-1.3592 -0.9842 -3.2937
2.8904 -1.2254 -5.0594
-5.6548 -4.6307 -3.3088
-0.1222 -0.9829 -6.3135
-2.4754 -4.0228 -3.7720
-8.6675 -4.3882 -4.5628
0.6676 -3.4208 -4.2277
-6.4446 -2.1929 -5.3946
1.6426 -1.2048 -2.0139
-4.5311 -1.6020 -2.7972

=====

PBE Tm5ScPb6, relaxed; energy above the most stable polymorph in this dataset = 0.000 eV/atom; VASP energy = -55.428 eV per cell; crystal system = monoclinic
1.0
5.6064 -0.0436 -1.3832
-2.6516 7.3550 -3.1891
0.0494 -0.4657 8.3739
Tm Pb Sc
5 6 1
Cartesian
3.3180 1.0539 1.3612
-1.3258 3.6775 -1.5946
-0.3138 5.7919 2.4403
1.0204 2.1321 4.0687
1.9837 4.7137 -0.2672
-0.1474 2.8525 1.2110
4.5075 0.2520 4.2109
2.1065 1.7845 -1.4634
-1.5033 6.5937 -0.4094
3.1516 3.9932 2.5905
0.8482 5.5270 -3.1090
0.0000 0.0000 0.0000

=====

PBE Tm2Sc8Pb3, relaxed; VASP energy = -69.879 eV per cell; crystal system = trigonal
1.0
-3.6867 -1.0420 -4.6531
-1.8154 -5.6193 -1.2071
-10.6758 -0.8005 4.7340
Tm Sc Pb
2 8 3
Cartesian
-11.7479 -3.1433 2.2044
-4.4299 -4.3185 -3.3306
-12.6629 -5.5113 -0.4441
-8.6765 -2.3971 1.5276
-3.5149 -1.9505 -0.6821
-5.6844 -4.5512 -0.3607
-7.5013 -5.0647 -2.6538
-9.5712 -5.1664 0.9327
-10.4934 -2.9106 -0.7655
-6.6067 -2.2954 -2.0589
-10.4312 -5.8697 -2.1320
-5.7466 -1.5921 1.0058
0.0000 0.0000 0.0000

=====

no.,size of the total moment (μB/f.u.)
1,0.000
2,0.000
3,1.192
4,0.572
5,0.000
6,0.844